No. 1
Here is a relaxed structure of TaAlPt2 from the Alexandria database. Energies are from GGA-PBE.

Unit cell a=2.8643 b=2.8643 c=27.1078 alpha=90.00 beta=90.00 gamma=120.00
Space group R3m (No. 160, hexagonal axes)
Unique sites:
Ta 0.0000 0.0000 0.0000
Al 0.0000 0.0000 0.2469
Pt 0.0000 0.0000 0.5060
Pt 0.0000 0.0000 0.7490

Properties
DFT formation energy   -0.472 eV per atom


No. 2
Here is a relaxed structure of Y2ZrAg from the Alexandria database. Energies are from GGA-PBE.

Unit cell a=3.4486 b=3.4486 c=8.7697 alpha=90.00 beta=90.00 gamma=90.00
Space group P4mm (No. 99)
Unique sites:
Y 0.0000 0.0000 0.0000
Y 0.5000 0.5000 0.3153
Zr 0.0000 0.0000 0.5671
Ag 0.5000 0.5000 0.7674

Properties
DFT formation energy   -0.036 eV per atom
Relative energy among the computed polymorphs   79 meV per atom


No. 3
Here is a relaxed structure of AcAu6 from the Alexandria database. Energies are from GGA-PBE.

Unit cell a=6.3975 b=6.3975 c=6.3975 alpha=90.00 beta=90.00 gamma=90.00
Space group Pm-3m (No. 221)
Unique sites:
Ac 0.0000 0.0000 0.0000
Au 0.1959 0.5000 0.5000

Properties
DFT formation energy   0.554 eV per atom
Relative energy among the computed polymorphs   1003 meV per atom


No. 4
Here is a relaxed structure of Tb7Y12Tm from the Alexandria database. Energies are from GGA-PBE.

Unit cell a=12.8378 b=12.8378 c=13.6794 alpha=90.00 beta=90.00 gamma=120.00
Space group R-3 (No. 148, hexagonal axes)
Unique sites:
Tb 0.0000 0.0000 0.0000
Tb 0.0684 0.8692 0.3453
Y 0.0032 0.5657 0.2479
Y 0.0681 0.2007 0.8505
Tm 0.0000 0.0000 0.5000

Properties
DFT formation energy   0.278 eV per atom
Relative energy among the computed polymorphs   0 meV per atom


> What is the DFT formation energy in the fourth record?

0.278 eV per atom


> DFT formation energy of number 3 (AcAu6)?

0.554 eV per atom


> Look up the DFT formation energy of the fourth one.

0.278 eV per atom


> Among the records above, which one has the highest DFT formation energy?

AcAu6